A plane-wave DFT calculation with GGA-PBE was carried out for a relaxed InSnSN2 crystal.

Output
uncorrected formation energy: 1010 meV/atom
total magnetization: 2.00 Bohr magnetons per cell
relative energy among the computed polymorphs: 0 kJ/mol of formula units

CIF file:
```
data_InSnSN2
_cell_length_a 4.139
_cell_length_b 4.139
_cell_length_c 5.433
_cell_angle_alpha 90.00
_cell_angle_beta 90.00
_cell_angle_gamma 90.00
_symmetry_space_group_name_H-M 'P 1'
_symmetry_Int_Tables_number 1
loop_
_symmetry_equiv_pos_as_xyz
'x,y,z'
loop_
_atom_site_label
_atom_site_type_symbol
_atom_site_fract_x
_atom_site_fract_y
_atom_site_fract_z
S1 S 0.000 0.000 0.500
N1 N 0.000 0.500 0.000
N2 N 0.500 0.000 0.000
Sn1 Sn 0.000 0.000 0.000
In1 In 0.500 0.500 0.500
```

A plane-wave DFT calculation with GGA-PBE was carried out for a relaxed Th3TaN6 crystal.

Output
uncorrected formation energy: -1413 meV/atom
total magnetization: 0.00 Bohr magnetons per cell

CIF file:
```
data_Th3TaN6
_cell_length_a 5.784
_cell_length_b 7.607
_cell_length_c 7.607
_cell_angle_alpha 102.90
_cell_angle_beta 90.00
_cell_angle_gamma 90.00
_symmetry_space_group_name_H-M 'P 1'
_symmetry_Int_Tables_number 1
loop_
_symmetry_equiv_pos_as_xyz
'x,y,z'
loop_
_atom_site_label
_atom_site_type_symbol
_atom_site_fract_x
_atom_site_fract_y
_atom_site_fract_z
Th1 Th 0.474 0.911 0.698
Th2 Th 0.974 0.698 0.911
Th3 Th 0.442 0.396 0.604
Th4 Th 0.942 0.604 0.396
Th5 Th 0.974 0.089 0.302
Th6 Th 0.474 0.302 0.089
Ta1 Ta 0.008 0.194 0.806
Ta2 Ta 0.508 0.806 0.194
N1 N 0.214 0.668 0.649
N2 N 0.714 0.649 0.668
N3 N 0.178 0.416 0.892
N4 N 0.678 0.892 0.416
N5 N 0.144 0.046 0.954
N6 N 0.661 0.214 0.786
N7 N 0.161 0.786 0.214
N8 N 0.644 0.954 0.046
N9 N 0.178 0.108 0.584
N10 N 0.678 0.584 0.108
N11 N 0.214 0.351 0.332
N12 N 0.714 0.332 0.351
```

A plane-wave DFT calculation with GGA-PBE was carried out for a relaxed LaTePd3 crystal.

Output
uncorrected formation energy: -362 meV/atom
total magnetization: 0.00 Bohr magnetons per cell
relative energy among the computed polymorphs: 0 kJ/mol of formula units

CIF file:
```
data_LaTePd3
_cell_length_a 4.990
_cell_length_b 4.990
_cell_length_c 4.990
_cell_angle_alpha 90.00
_cell_angle_beta 90.00
_cell_angle_gamma 90.00
_symmetry_space_group_name_H-M 'P 1'
_symmetry_Int_Tables_number 1
loop_
_symmetry_equiv_pos_as_xyz
'x,y,z'
loop_
_atom_site_label
_atom_site_type_symbol
_atom_site_fract_x
_atom_site_fract_y
_atom_site_fract_z
Te1 Te 0.000 0.000 0.000
Pd1 Pd 0.000 0.500 0.000
Pd2 Pd 0.000 0.000 0.500
Pd3 Pd 0.500 0.000 0.000
La1 La 0.500 0.500 0.500
```

A plane-wave DFT calculation with GGA-PBE was carried out for a relaxed Ac4S3 crystal.

Output
uncorrected formation energy: -1645 meV/atom
total magnetization: 0.00 Bohr magnetons per cell

CIF file:
```
data_Ac4S3
_cell_length_a 6.062
_cell_length_b 6.062
_cell_length_c 6.062
_cell_angle_alpha 90.00
_cell_angle_beta 90.00
_cell_angle_gamma 90.00
_symmetry_space_group_name_H-M 'P 1'
_symmetry_Int_Tables_number 1
loop_
_symmetry_equiv_pos_as_xyz
'x,y,z'
loop_
_atom_site_label
_atom_site_type_symbol
_atom_site_fract_x
_atom_site_fract_y
_atom_site_fract_z
Ac1 Ac 0.000 0.000 0.000
Ac2 Ac 0.000 0.500 0.500
Ac3 Ac 0.500 0.000 0.500
Ac4 Ac 0.500 0.500 0.000
S1 S 0.000 0.500 0.000
S2 S 0.000 0.000 0.500
S3 S 0.500 0.000 0.000
```